Se2I3 | PBE | optimized geometry

POSCAR file:
```
Se2I3
1.0
13.551 -0.586 6.598
4.165 6.060 7.968
3.901 2.199 10.682
I Se
6 4
direct
0.745 0.005 0.005
0.400 0.592 0.745
0.600 0.408 0.255
0.255 0.995 0.995
0.237 0.255 0.408
0.763 0.745 0.592
0.094 0.671 0.270
0.464 0.270 0.671
0.536 0.730 0.329
0.906 0.329 0.730
```

Its spin magnetization is 0.0000 μB/atom. For the energy relative to the elements, uncorrected, the calculation gives 9.2 kJ per mole of atoms. The value obtained for the calculated total energy is -2.2283 eV/atom.